No. 1
This record from Alexandria via LeMat-Bulk describes a geometry-optimized Er3Tl3Cd2 structure. The functional is PBE.

Cell: 6.0819 8.9585 8.9585 Å, 120.00 90.00 90.00°
Sites, in units of the cell vectors:
Er1 0.7500 0.2415 0.0000
Er2 0.7500 0.7585 0.7585
Er3 0.7500 0.0000 0.2415
Er4 0.2500 0.7585 0.0000
Er5 0.2500 0.2415 0.2415
Er6 0.2500 0.0000 0.7585
Tl1 0.7500 0.6060 0.0000
Tl2 0.7500 0.3940 0.3940
Tl3 0.7500 0.0000 0.6060
Tl4 0.2500 0.3940 0.0000
Tl5 0.2500 0.6060 0.6060
Tl6 0.2500 0.0000 0.3940
Cd1 0.0000 0.3333 0.6667
Cd2 0.5000 0.6667 0.3333
Cd3 0.0000 0.6667 0.3333
Cd4 0.5000 0.3333 0.6667

Properties
Size of the total moment   0.00 μB/atom
Polymorph energy (0 for the lowest one)   78 meV per atom

No. 2
This record from Alexandria via LeMat-Bulk describes a geometry-optimized ErTlCd structure. The functional is PBE.

Cell: 3.3203 3.3203 8.5908 Å, 101.14 101.14 90.00°
Each line ends with the local moment (μB).
Sites, in units of the cell vectors:
Tl1 0.1312 0.1312 0.2625  0.00
Cd1 0.9533 0.9533 0.9065  0.00
Er1 0.7655 0.7655 0.5310  0.16

Properties
Size of the total moment   0.06 μB/atom
Energy   -2.44 eV per atom

No. 3
This record from Alexandria via LeMat-Bulk describes a geometry-optimized ErTlCd2 structure. The functional is PBE.

Cell: 5.2070 5.2070 5.2070 Å, 60.00 60.00 60.00°
Sites, in units of the cell vectors:
Tl1 0.5000 0.5000 0.5000
Cd1 0.2500 0.2500 0.2500
Cd2 0.7500 0.7500 0.7500
Er1 0.0000 0.0000 0.0000

Properties
Size of the total moment   0.00 μB/atom
Polymorph energy (0 for the lowest one)   130 meV per atom

No. 4
This record from Alexandria via LeMat-Bulk describes a geometry-optimized Er8TlCd2 structure. The functional is PBE.

Cell: 5.1535 7.2290 9.2751 Å, 106.88 106.13 90.00°
Sites, in units of the cell vectors:
Er1 0.4074 0.5372 0.8149
Er2 0.6682 0.9576 0.3364
Er3 0.8061 0.7053 0.6121
Er4 0.9753 0.2452 0.9506
Er5 0.1939 0.2947 0.3879
Er6 0.3318 0.0424 0.6636
Er7 0.5926 0.4628 0.1851
Er8 0.0247 0.7548 0.0494
Tl1 0.5000 0.0000 0.0000
Cd1 0.8117 0.2974 0.6234
Cd2 0.1883 0.7026 0.3766

Properties
Size of the total moment   0.00 μB/atom
Polymorph energy (0 for the lowest one)   50 meV per atom

No. 5
This record from Alexandria via LeMat-Bulk describes a geometry-optimized Er7Tl5Cd structure. The functional is PBE.

Cell: 6.5836 8.2060 8.2060 Å, 81.28 66.35 66.35°
Sites, in units of the cell vectors:
Er1 0.6227 0.3773 0.3773
Er2 0.2700 0.7300 0.7300
Er3 0.0051 0.3180 0.6719
Er4 0.0051 0.6719 0.3180
Er5 0.2718 0.2282 0.2282
Er6 0.5232 0.8009 0.1527
Er7 0.5232 0.1527 0.8009
Tl1 0.5180 0.0019 0.4709
Tl2 0.0092 0.0019 0.4709
Tl3 0.5180 0.4709 0.0019
Tl4 0.0092 0.4709 0.0019
Tl5 0.7642 0.7358 0.7358
Cd1 0.9602 0.0398 0.0398

Properties
Size of the total moment   0.00 μB/atom
Energy   -3.55 eV per atom

No. 6
This record from Alexandria via LeMat-Bulk describes a geometry-optimized ErTmTlCd structure. The functional is PBE.

Cell: 5.2758 5.2758 5.2758 Å, 60.00 60.00 60.00°
Sites, in units of the cell vectors:
Cd1 0.7500 0.7500 0.7500
Tl1 0.2500 0.2500 0.2500
Tm1 0.5000 0.5000 0.5000
Er1 0.0000 0.0000 0.0000

Properties
Size of the total moment   0.00 μB/atom
Energy   -3.39 eV per atom

No. 7
This record from Alexandria via LeMat-Bulk describes a geometry-optimized ErTm2Tl2Cd2 structure. The functional is PBE.

Cell: 5.0081 5.0081 9.0027 Å, 73.85 73.85 60.00°
Sites, in units of the cell vectors:
Er1 0.0000 0.0000 0.0000
Tm1 0.1340 0.1340 0.5981
Tm2 0.8660 0.8660 0.4019
Tl1 0.7294 0.7294 0.8117
Tl2 0.2706 0.2706 0.1883
Cd1 0.5676 0.5676 0.2972
Cd2 0.4324 0.4324 0.7028

Properties
Size of the total moment   0.00 μB/atom
Energy   -2.97 eV per atom

No. 8
This record from Alexandria via LeMat-Bulk describes a geometry-optimized YEr2Tl2Cd2 structure. The functional is PBE.

Cell: 5.0081 5.0081 9.1011 Å, 74.03 74.03 60.00°
Sites, in units of the cell vectors:
Y1 0.0000 0.0000 0.0000
Er1 0.1338 0.1338 0.5987
Er2 0.8662 0.8662 0.4013
Tl1 0.7304 0.7304 0.8089
Tl2 0.2696 0.2696 0.1911
Cd1 0.5689 0.5689 0.2932
Cd2 0.4311 0.4311 0.7068

Properties
Size of the total moment   0.00 μB/atom
Energy   -3.29 eV per atom

No. 9
This record from Alexandria via LeMat-Bulk describes a geometry-optimized YErTlCd structure. The functional is PBE.

Cell: 5.3123 5.3123 5.3123 Å, 60.00 60.00 60.00°
Sites, in units of the cell vectors:
Y1 0.7500 0.7500 0.7500
Tl1 0.5000 0.5000 0.5000
Cd1 0.0000 0.0000 0.0000
Er1 0.2500 0.2500 0.2500

Properties
Size of the total moment   0.01 μB/atom
Energy   -3.92 eV per atom

No. 10
This record from Alexandria via LeMat-Bulk describes a geometry-optimized ErZrTlCd structure. The functional is PBE.

Cell: 5.1384 5.1384 5.1384 Å, 60.00 60.00 60.00°
Sites, in units of the cell vectors:
Tl1 0.2500 0.2500 0.2500
Cd1 0.7500 0.7500 0.7500
Zr1 0.0000 0.0000 0.0000
Er1 0.5000 0.5000 0.5000

Properties
Size of the total moment   0.00 μB/atom
Energy   -4.24 eV per atom

No. 11
This record from Alexandria via LeMat-Bulk describes a geometry-optimized Er4Tm7Cd structure. The functional is PBE.

Cell: 5.4827 5.4827 13.6626 Å, 90.00 90.00 120.00°
Sites, in units of the cell vectors:
Er1 0.6667 0.3333 0.0723
Er2 0.3333 0.6667 0.9277
Er3 0.6667 0.3333 0.5754
Er4 0.3333 0.6667 0.4246
Tm1 0.0000 0.0000 0.0000
Tm2 0.6667 0.3333 0.3159
Tm3 0.3333 0.6667 0.6841
Tm4 0.6667 0.3333 0.8260
Tm5 0.3333 0.6667 0.1740
Tm6 0.0000 0.0000 0.2669
Tm7 0.0000 0.0000 0.7331
Cd1 0.0000 0.0000 0.5000

Properties
Size of the total moment   0.00 μB/atom
Energy   -4.14 eV per atom

No. 12
This record from Alexandria via LeMat-Bulk describes a geometry-optimized Er8TmCd2 structure. The functional is PBE.

Cell: 5.4793 8.6457 8.6457 Å, 119.36 101.01 101.01°
Sites, in units of the cell vectors:
Er1 0.8860 0.9063 0.6806
Er2 0.8860 0.6806 0.9063
Er3 0.2991 0.6025 0.6025
Er4 0.5000 0.7807 0.2193
Er5 0.5000 0.2193 0.7807
Er6 0.7009 0.3975 0.3975
Er7 0.1140 0.3194 0.0937
Er8 0.1140 0.0937 0.3194
Tm1 0.5000 0.0000 0.0000
Cd1 0.0000 0.3065 0.6935
Cd2 0.0000 0.6935 0.3065

Properties
Size of the total moment   0.00 μB/atom
Energy   -3.85 eV per atom